Density functional theory data (GGA-PBE) for crystalline KZn2Rh at its relaxed geometry.

POSCAR file:
```
KZn2Rh
1.0
-8.431 0.724 4.888
-8.368 -2.331 4.477
-6.877 -1.065 6.861
Rh K Zn
1 1 2
direct
0.750 0.750 0.750
0.250 0.250 0.250
0.482 0.482 0.482
0.018 0.018 0.018
```

* space group: R-3m, No. 166
* V: 79.10 Å³/cell
* energy above the most stable polymorph in this dataset: 341 meV per atom



Density functional theory data (GGA-PBE) for crystalline CaYHg2 at its relaxed geometry.

POSCAR file:
```
CaYHg2
1.0
5.002 0.007 -0.006
3.518 3.556 -0.006
1.509 0.631 6.608
Hg Y Ca
2 1 1
direct
0.501 0.501 0.483
0.999 0.999 0.017
0.250 0.250 0.250
0.750 0.750 0.750
```

* space group: C2/m, No. 12
* V: 117.41 Å³/cell
* energy above the most stable polymorph in this dataset: 178 meV per atom



Density functional theory data (GGA-PBE) for crystalline SrBePd2Pt at its relaxed geometry.

POSCAR file:
```
SrBePd2Pt
1.0
-0.316 -1.028 -4.327
1.179 -4.203 0.912
-4.256 -1.071 0.565
Pd Sr Be Pt
2 1 1 1
direct
0.500 0.000 0.000
0.000 0.500 0.000
0.500 0.500 0.500
0.000 0.000 0.000
0.000 0.000 0.500
```

* space group: P4/mmm, No. 123
* V: 87.99 Å³/cell



no.,E_form (kJ per mole of atoms),magnetization (μB/f.u.)
1,22.9,0.00
2,-35.9,0.00
3,-56.0,0.00